1.
DFT (PBE-GGA) results for a geometry-optimized TiCr2Tc structure.

Total energy: -9.494 eV per atom
Excess energy over the best structure of this formula in the dataset: 0.000 eV per atom
Symmetry: No. 225

Cell lengths 4.225, 4.225, 4.225 Å; angles 60.00, 60.00, 60.00 degrees
Positions (direct):
Cr (0.250, 0.250, 0.250)
Cr (0.750, 0.750, 0.750)
Ti (0.000, 0.000, 0.000)
Tc (0.500, 0.500, 0.500)

=====

2.
DFT (PBE-GGA) results for a geometry-optimized Th2Al12Pt7 structure.

Total energy: -5.850 eV per atom
Symmetry: No. 174

Cell lengths 4.164, 10.057, 10.057 Å; angles 120.00, 90.00, 90.00 degrees
Positions (direct):
Al (0.500, 0.384, 0.304)
Al (0.000, 0.046, 0.522)
Al (0.500, 0.548, 0.753)
Al (0.000, 0.478, 0.524)
Al (0.000, 0.929, 0.209)
Al (0.500, 0.247, 0.795)
Al (0.000, 0.791, 0.720)
Al (0.000, 0.280, 0.071)
Al (0.500, 0.696, 0.080)
Al (0.000, 0.476, 0.954)
Al (0.500, 0.920, 0.616)
Al (0.500, 0.205, 0.452)
Th (0.500, 0.000, 0.000)
Th (0.000, 0.667, 0.333)
Pt (0.000, 0.215, 0.284)
Pt (0.500, 0.647, 0.563)
Pt (0.000, 0.333, 0.667)
Pt (0.000, 0.716, 0.931)
Pt (0.500, 0.437, 0.084)
Pt (0.000, 0.069, 0.785)
Pt (0.500, 0.916, 0.353)

=====

3.
DFT (PBE-GGA) results for a geometry-optimized Rb2CaAs2 structure.

Total energy: -3.112 eV per atom
Excess energy over the best structure of this formula in the dataset: 0.000 eV per atom
Symmetry: No. 127

Cell lengths 7.678, 7.678, 5.767 Å; angles 90.00, 90.00, 90.00 degrees
Positions (direct):
As (0.381, 0.881, 0.000)
As (0.619, 0.119, 0.000)
As (0.119, 0.381, 0.000)
As (0.881, 0.619, 0.000)
Rb (0.664, 0.836, 0.500)
Rb (0.836, 0.336, 0.500)
Rb (0.164, 0.664, 0.500)
Rb (0.336, 0.164, 0.500)
Ca (0.500, 0.500, 0.000)
Ca (0.000, 0.000, 0.000)

=====

4.
DFT (PBE-GGA) results for a geometry-optimized Sm4Y3Bi4 structure.

Total energy: -5.466 eV per atom
Symmetry: No. 71

Cell lengths 4.070, 9.362, 10.474 Å; angles 116.55, 101.20, 90.00 degrees
Site moments in Bohr magnetons follow the coordinates.
Positions (direct):
Y (0.902, 0.902, 0.804)  0.24
Y (0.000, 0.500, 0.000)  0.01
Y (0.098, 0.098, 0.196)  0.24
Bi (0.730, 0.230, 0.461)  -0.01
Bi (0.500, 0.791, 0.000)  0.00
Bi (0.270, 0.770, 0.539)  -0.01
Bi (0.500, 0.209, 0.000)  0.00
Sm (0.334, 0.513, 0.668)  0.18
Sm (0.666, 0.845, 0.332)  0.18
Sm (0.666, 0.487, 0.332)  0.18
Sm (0.334, 0.155, 0.668)  0.18

=====

5.
DFT (PBE-GGA) results for a geometry-optimized Hf9In2Hg structure.

Total energy: -8.060 eV per atom
Symmetry: No. 123

Cell lengths 4.417, 4.417, 13.250 Å; angles 90.00, 90.00, 90.00 degrees
Positions (direct):
Hf (0.500, 0.000, 0.500)
Hf (0.500, 0.500, 0.000)
Hf (0.000, 0.500, 0.500)
Hf (0.500, 0.500, 0.332)
Hf (0.500, 0.000, 0.166)
Hf (0.000, 0.500, 0.834)
Hf (0.000, 0.500, 0.166)
Hf (0.500, 0.500, 0.668)
Hf (0.500, 0.000, 0.834)
In (0.000, 0.000, 0.668)
In (0.000, 0.000, 0.332)
Hg (0.000, 0.000, 0.000)

=====

6.
DFT (PBE-GGA) results for a geometry-optimized TlZnIn2 structure.

Total energy: -2.175 eV per atom
Symmetry: No. 8

Cell lengths 5.187, 5.187, 5.993 Å; angles 77.86, 77.86, 41.00 degrees
Positions (direct):
In (0.747, 0.747, 0.763)
In (0.990, 0.990, 0.027)
Zn (0.253, 0.253, 0.227)
Tl (0.510, 0.510, 0.482)